# 1
A geometry-optimized La2WCl structure, computed with GGA-PBE.

Computed properties:
Calculated density: 7.69 g/cm³
Spin magnetization: 0.0 μB/f.u.
DFT total energy: -6.409 eV per atom
SG: P4mm, No. 99
Formation energy (no corrections): -245 meV/atom

```
data_La2WCl
_symmetry_space_group_name_H-M 'P 1'
_symmetry_Int_Tables_number 1
_cell_length_a 4.2809
_cell_length_b 4.2809
_cell_length_c 5.8546
_cell_angle_alpha 90.00
_cell_angle_beta 90.00
_cell_angle_gamma 90.00
loop_
_symmetry_equiv_pos_as_xyz
'x,y,z'
loop_
_atom_site_label
_atom_site_type_symbol
_atom_site_fract_x
_atom_site_fract_y
_atom_site_fract_z
_atom_site_occupancy
Cl1 Cl 0.5000 0.5000 0.8715 1
W1 W 0.0000 0.0000 0.3519 1
La1 La 0.0000 0.0000 0.9064 1
La2 La 0.5000 0.5000 0.3703 1
```

# 2
A geometry-optimized La2WCl structure, computed with GGA-PBE.

Computed properties:
Calculated density: 8.42 g/cm³
Spin magnetization: 0.9 μB/f.u.
DFT total energy: -5.559 eV per atom
SG: F-43m, No. 216
Formation energy (no corrections): 604 meV/atom

```
data_La2WCl
_symmetry_space_group_name_H-M 'P 1'
_symmetry_Int_Tables_number 1
_cell_length_a 5.1753
_cell_length_b 5.1753
_cell_length_c 5.1753
_cell_angle_alpha 60.00
_cell_angle_beta 60.00
_cell_angle_gamma 60.00
loop_
_symmetry_equiv_pos_as_xyz
'x,y,z'
loop_
_atom_site_label
_atom_site_type_symbol
_atom_site_fract_x
_atom_site_fract_y
_atom_site_fract_z
_atom_site_occupancy
Cl1 Cl 0.5000 0.5000 0.5000 1
W1 W 0.7500 0.7500 0.7500 1
La1 La 0.0000 0.0000 0.0000 1
La2 La 0.2500 0.2500 0.2500 1
```

# 3
A geometry-optimized LaWCl2 structure, computed with GGA-PBE.

Computed properties:
Calculated density: 5.60 g/cm³
Spin magnetization: 3.2 μB/f.u.
DFT total energy: -5.298 eV per atom
SG: P4/mmm, No. 123
Formation energy (no corrections): 96 meV/atom

```
data_LaWCl2
_symmetry_space_group_name_H-M 'P 1'
_symmetry_Int_Tables_number 1
_cell_length_a 3.3258
_cell_length_b 3.3259
_cell_length_c 10.5579
_cell_angle_alpha 90.00
_cell_angle_beta 90.00
_cell_angle_gamma 90.00
loop_
_symmetry_equiv_pos_as_xyz
'x,y,z'
loop_
_atom_site_label
_atom_site_type_symbol
_atom_site_fract_x
_atom_site_fract_y
_atom_site_fract_z
_atom_site_occupancy
Cl1 Cl 0.0000 0.0000 0.0861 1
Cl2 Cl 0.0000 0.0000 0.4139 1
W1 W 0.5000 0.5000 0.7500 1
La1 La 0.5000 0.5000 0.2500 1
```

# 4
A geometry-optimized LaWCl2 structure, computed with GGA-PBE.

Computed properties:
Calculated density: 6.74 g/cm³
Spin magnetization: 0.8 μB/f.u.
DFT total energy: -5.718 eV per atom
SG: P4mm, No. 99
Formation energy (no corrections): -324 meV/atom

```
data_LaWCl2
_symmetry_space_group_name_H-M 'P 1'
_symmetry_Int_Tables_number 1
_cell_length_a 3.2585
_cell_length_b 3.2585
_cell_length_c 9.1378
_cell_angle_alpha 90.00
_cell_angle_beta 90.00
_cell_angle_gamma 89.98
loop_
_symmetry_equiv_pos_as_xyz
'x,y,z'
loop_
_atom_site_label
_atom_site_type_symbol
_atom_site_fract_x
_atom_site_fract_y
_atom_site_fract_z
_atom_site_occupancy
Cl1 Cl 0.0000 0.0000 0.9138 1
Cl2 Cl 0.5000 0.5000 0.3042 1
W1 W 0.5000 0.5000 0.7738 1
La1 La 0.0000 0.0000 0.5083 1
```

# 5
A geometry-optimized LaWCl2 structure, computed with GGA-PBE.

Computed properties:
Calculated density: 5.73 g/cm³
Spin magnetization: 3.0 μB/f.u.
DFT total energy: -5.465 eV per atom
SG: Cm, No. 8
Formation energy (no corrections): -71 meV/atom

```
data_LaWCl2
_symmetry_space_group_name_H-M 'P 1'
_symmetry_Int_Tables_number 1
_cell_length_a 8.0318
_cell_length_b 8.0318
_cell_length_c 4.8915
_cell_angle_alpha 63.84
_cell_angle_beta 63.84
_cell_angle_gamma 23.88
loop_
_symmetry_equiv_pos_as_xyz
'x,y,z'
loop_
_atom_site_label
_atom_site_type_symbol
_atom_site_fract_x
_atom_site_fract_y
_atom_site_fract_z
_atom_site_occupancy
Cl1 Cl 0.0184 0.0184 0.9654 1
Cl2 Cl 0.2033 0.2033 0.2139 1
W1 W 0.7956 0.7956 0.8033 1
La1 La 0.4826 0.4826 0.5175 1
```

# 6
A geometry-optimized La2WCl structure, computed with GGA-PBE.

Computed properties:
Calculated density: 8.21 g/cm³
Spin magnetization: 1.1 μB/f.u.
DFT total energy: -6.024 eV per atom
SG: Fm-3m, No. 225
Formation energy (no corrections): 140 meV/atom

```
data_La2WCl
_symmetry_space_group_name_H-M 'P 1'
_symmetry_Int_Tables_number 1
_cell_length_a 5.2189
_cell_length_b 5.2189
_cell_length_c 5.2189
_cell_angle_alpha 60.00
_cell_angle_beta 60.00
_cell_angle_gamma 60.00
loop_
_symmetry_equiv_pos_as_xyz
'x,y,z'
loop_
_atom_site_label
_atom_site_type_symbol
_atom_site_fract_x
_atom_site_fract_y
_atom_site_fract_z
_atom_site_occupancy
Cl1 Cl 0.0000 0.0000 0.0000 1
W1 W 0.5000 0.5000 0.5000 1
La1 La 0.2500 0.2500 0.2500 1
La2 La 0.7500 0.7500 0.7500 1
```

# 7
A geometry-optimized La2WCl2 structure, computed with GGA-PBE.

Computed properties:
Calculated density: 6.56 g/cm³
Spin magnetization: 2.0 μB/f.u.
DFT total energy: -5.699 eV per atom
SG: I4/mmm, No. 139
Formation energy (no corrections): -399 meV/atom

```
data_La2WCl2
_symmetry_space_group_name_H-M 'P 1'
_symmetry_Int_Tables_number 1
_cell_length_a 4.1978
_cell_length_b 4.1978
_cell_length_c 8.2073
_cell_angle_alpha 75.18
_cell_angle_beta 75.18
_cell_angle_gamma 90.00
loop_
_symmetry_equiv_pos_as_xyz
'x,y,z'
loop_
_atom_site_label
_atom_site_type_symbol
_atom_site_fract_x
_atom_site_fract_y
_atom_site_fract_z
_atom_site_occupancy
Cl1 Cl 0.7500 0.2500 0.5000 1
Cl2 Cl 0.2500 0.7500 0.5000 1
W1 W 0.0000 0.0000 0.0000 1
La1 La 0.3851 0.3851 0.2298 1
La2 La 0.6149 0.6149 0.7702 1
```

# 8
A geometry-optimized LaWCl2 structure, computed with GGA-PBE.

Computed properties:
Calculated density: 7.52 g/cm³
Spin magnetization: 2.8 μB/f.u.
DFT total energy: -5.288 eV per atom
SG: P4/mmm, No. 123
Formation energy (no corrections): 106 meV/atom

```
data_LaWCl2
_symmetry_space_group_name_H-M 'P 1'
_symmetry_Int_Tables_number 1
_cell_length_a 4.5385
_cell_length_b 4.5385
_cell_length_c 4.2222
_cell_angle_alpha 90.00
_cell_angle_beta 90.00
_cell_angle_gamma 90.00
loop_
_symmetry_equiv_pos_as_xyz
'x,y,z'
loop_
_atom_site_label
_atom_site_type_symbol
_atom_site_fract_x
_atom_site_fract_y
_atom_site_fract_z
_atom_site_occupancy
Cl1 Cl 0.0000 0.0000 0.0000 1
Cl2 Cl 0.5000 0.5000 0.0000 1
W1 W 0.0000 0.5000 0.5000 1
La1 La 0.5000 0.0000 0.5000 1
```

Number 1: energy relative to the lowest polymorph listed for this composition 103.2 meV/atom. Number 2: energy relative to the lowest polymorph listed for this composition 952.5 meV/atom. Number 3: energy relative to the lowest polymorph listed for this composition 454.0 meV/atom. Number 4: energy relative to the lowest polymorph listed for this composition 34.0 meV/atom. Number 5: energy relative to the lowest polymorph listed for this composition 287.3 meV/atom. Number 6: energy relative to the lowest polymorph listed for this composition 488.0 meV/atom. Number 7: energy relative to the lowest polymorph listed for this composition 68.6 meV/atom. Number 8: energy relative to the lowest polymorph listed for this composition 464.2 meV/atom.